{"formula": "BeNbTeH2", "functional": "GGA-PBE", "state": "relaxed", "total_energy_ha_per_atom": -0.134, "dos_ef_per_ev_atom": 0.86, "cell": [[3.719, 0.000, 0.000], [0.000, 3.719, 0.000], [0.000, 0.000, 5.394]], "species": ["Be", "Nb", "Te", "H", "H"], "frac_coords": [[0.000, 0.000, 0.000], [0.500, 0.500, 0.000], [0.000, 0.000, 0.500], [0.000, 0.500, 0.500], [0.500, 0.000, 0.500]]}